# 1
Compound: Y3ScZn2
Source: Alexandria via LeMat-Bulk
Functional: PBE
Structure: optimized geometry

Structure (POSCAR):
```
Y3ScZn2
1.0
3.5603 0.0000 0.0000
0.0000 3.5603 0.0000
0.0000 0.0000 11.7944
Y Sc Zn
3 1 2
direct
0.0000 0.0000 0.0000 Y
0.0000 0.0000 0.3017 Y
0.0000 0.0000 0.6983 Y
0.5000 0.5000 0.5000 Sc
0.5000 0.5000 0.1519 Zn
0.5000 0.5000 0.8481 Zn
```

Computed properties:
The mass density is 4.91 Mg/m³. The formation energy is -4.96 kcal/mol of atoms. The value obtained for the density of states at the Fermi level is 7.7 states/eV/f.u.

# 2
Compound: LiZr2AlN
Source: Alexandria via LeMat-Bulk
Functional: PBE
Structure: optimized geometry

Structure (POSCAR):
```
LiZr2AlN
1.0
4.5422 0.0000 0.0000
0.0000 4.5422 0.0000
0.0000 0.0000 3.9596
Li Zr Al N
1 2 1 1
direct
0.0000 0.0000 0.0000 Li
0.0000 0.5000 0.5000 Zr
0.5000 0.0000 0.5000 Zr
0.5000 0.5000 0.0000 Al
0.5000 0.5000 0.5000 N
```

Computed properties:
The mass density is 4.68 Mg/m³. Its uncorrected formation energy is -44 kJ/mol of atoms. The value obtained for the density of states at the Fermi level is 3.3 states/eV/f.u.